A geometry-optimized SrNpInCl6 structure. Source: Alexandria via LeMat-Bulk, functional PBE-GGA.

Output
Space-group type = P-31c
Raw formation energy = -1766 meV/atom
Theoretical density = 3.36 g/cm3

Lattice parameters (Å, degrees): 7.484 7.484 13.278 90.00 90.00 120.00
Element x y z (fractional)
Sr  0.333  0.667  0.250
Sr  0.667  0.333  0.750
Np  0.333  0.667  0.750
Np  0.667  0.333  0.250
In  0.000  0.000  0.000
In  0.000  0.000  0.500
Cl  0.017  0.372  0.636
Cl  0.017  0.645  0.864
Cl  0.355  0.372  0.864
Cl  0.355  0.983  0.636
Cl  0.372  0.017  0.136
Cl  0.372  0.355  0.364
Cl  0.628  0.645  0.636
Cl  0.628  0.983  0.864
Cl  0.645  0.017  0.364
Cl  0.645  0.628  0.136
Cl  0.983  0.355  0.136
Cl  0.983  0.628  0.364